Computed, not measured: crystalline Sm2HgBi at its relaxed geometry at the PBE-GGA level of DFT.

Output
* energy of formation: -0.6326 eV per atom
* space-group type: Cmcm
* density: 9.45 g/cm³
* N(E_F): 0.67 states/eV per atom

a b c (Å): 4.717 4.293 12.516
angles (deg): 99.87 90.00 90.00
Sites, in units of the cell vectors:
Sm 0.750 0.681 0.361
Sm 0.250 0.319 0.639
Sm 0.750 0.938 0.876
Sm 0.250 0.062 0.124
Hg 0.250 0.457 0.913
Hg 0.750 0.543 0.087
Bi 0.250 0.189 0.379
Bi 0.750 0.811 0.621